# 1
VASP calculation (GGA-PBE) on crystalline Cs4K11 at its relaxed geometry.

The structure belongs to space group P4_2/mnm (No. 136); the cell edges are 16.838, 16.838 and 8.783 Å and the angles 90.00°, 90.00° and 90.00°. The distinct sites, in fractional coordinates, are Cs at (0.045, 0.359, 0.000), K at (0.000, 0.000, 0.500), K at (0.072, 0.253, 0.500), K at (0.090, 0.090, 0.000) and K at (0.176, 0.824, 0.247).

Its uncorrected energy is -1.019 eV/atom. The size of the total moment is 0.0 μB per formula unit. The density of states at the Fermi level is 0.8562 states/eV per atom.

# 2
VASP calculation (GGA-PBE) on crystalline Cs3K8 at its relaxed geometry.

The structure belongs to space group C2/m (No. 12); the cell edges are 15.431, 7.031 and 17.279 Å and the angles 90.00°, 104.65° and 90.00°. The distinct sites, in fractional coordinates, are Cs at (0.000, 0.000, 0.000), Cs at (0.091, 0.000, 0.642), K at (0.042, 0.500, 0.818), K at (0.141, 0.500, 0.453), K at (0.186, 0.000, 0.273) and K at (0.225, 0.500, 0.088).

As for the energy above the most stable polymorph in this dataset: 0.0000 eV/atom. Its uncorrected energy is -1.023 eV/atom. The size of the total moment is 0.0 μB per formula unit. The density of states at the Fermi level is 0.7801 states/eV per atom.

# 3
VASP calculation (GGA-PBE) on crystalline Cs3K at its relaxed geometry.

The structure belongs to space group Imm2 (No. 44); the cell edges are 5.352, 17.184 and 9.024 Å and the angles 90.00°, 90.00° and 90.00°. The distinct sites, in fractional coordinates, are Cs at (0.000, 0.000, 0.000), Cs at (0.000, 0.237, 0.628) and K at (0.000, 0.500, 0.984).

Its uncorrected energy is -0.906 eV/atom. The size of the total moment is 0.0 μB per formula unit. The density of states at the Fermi level is 1.0727 states/eV per atom.

# 4
VASP calculation (GGA-PBE) on crystalline Cs5K6 at its relaxed geometry.

The structure belongs to space group C2/m (No. 12); the cell edges are 8.345, 19.799 and 12.538 Å and the angles 90.00°, 90.84° and 90.00°. The distinct sites, in fractional coordinates, are Cs at (0.000, 0.000, 0.000), Cs at (0.000, 0.305, 0.000), Cs at (0.000, 0.343, 0.500), K at (0.001, 0.500, 0.787) and K at (0.003, 0.124, 0.690).

Its uncorrected energy is -0.944 eV/atom. The size of the total moment is 0.0 μB per formula unit. The density of states at the Fermi level is 0.9153 states/eV per atom.

# 5
VASP calculation (GGA-PBE) on crystalline CsK at its relaxed geometry.

The structure belongs to space group Amm2 (No. 38); the cell edges are 8.224, 5.065 and 8.886 Å and the angles 90.00°, 90.00° and 90.00°. The distinct sites, in fractional coordinates, are Cs at (0.000, 0.000, 0.000) and K at (0.500, 0.000, 0.669).

As for the energy above the most stable polymorph in this dataset: 0.0137 eV/atom. Its uncorrected energy is -0.957 eV/atom. The size of the total moment is 0.0 μB per formula unit. The density of states at the Fermi level is 0.9007 states/eV per atom.

# 6
VASP calculation (GGA-PBE) on crystalline Cs5K3 at its relaxed geometry.

The structure belongs to space group P4/mmm (No. 123); the cell edges are 5.772, 5.772 and 23.427 Å and the angles 90.00°, 90.00° and 90.00°. The distinct sites, in fractional coordinates, are Cs at (0.000, 0.000, 0.000), Cs at (0.000, 0.000, 0.238), Cs at (0.500, 0.500, 0.382), K at (0.000, 0.000, 0.500) and K at (0.500, 0.500, 0.119).

Its uncorrected energy is -0.941 eV/atom. The size of the total moment is 0.0 μB per formula unit. The density of states at the Fermi level is 0.9189 states/eV per atom.

# 7
VASP calculation (GGA-PBE) on crystalline CsK at its relaxed geometry.

The structure belongs to space group Imm2 (No. 44); the cell edges are 8.033, 14.276 and 9.674 Å and the angles 90.00°, 90.00° and 90.00°. The distinct sites, in fractional coordinates, are Cs at (0.000, 0.000, 0.000), Cs at (0.000, 0.324, 0.255), K at (0.000, 0.000, 0.500) and K at (0.000, 0.348, 0.761).

As for the energy above the most stable polymorph in this dataset: 0.0130 eV/atom. Its uncorrected energy is -0.958 eV/atom. The size of the total moment is 0.0 μB per formula unit. The density of states at the Fermi level is 0.9522 states/eV per atom.

# 8
VASP calculation (GGA-PBE) on crystalline CsK2 at its relaxed geometry.

The structure belongs to space group Imma (No. 74); the cell edges are 7.814, 9.750 and 13.511 Å and the angles 90.00°, 90.00° and 90.00°. The distinct sites, in fractional coordinates, are Cs at (0.000, 0.250, 0.001) and K at (0.000, 0.001, 0.667).

As for the energy above the most stable polymorph in this dataset: 0.0216 eV/atom. Its uncorrected energy is -1.002 eV/atom. The size of the total moment is 0.0 μB per formula unit. The density of states at the Fermi level is 0.9976 states/eV per atom.